A plane-wave DFT calculation with PBE+U was carried out for V2O3F after structural relaxation.

Cell: 5.5828 9.8173 5.5633 Å, 78.15 65.78 97.84°
Last column: magnetic moment on the atom in μB.
Sites, in units of the cell vectors:
V  0.9126  0.7737  0.6362  1.20
V  0.6259  0.2502  0.8757  1.14
V  0.5196  0.0005  0.4983  1.90
V  0.7323  0.5000  0.2531  1.90
V  0.2500  0.4974  0.7416  1.90
V  0.3393  0.7268  0.1151  1.20
V  0.1259  0.2503  0.3757  1.19
V  0.0018  0.0031  0.0097  1.90
O  0.9239  0.1526  0.7774  -0.04
O  0.5818  0.8469  0.7337  -0.07
O  0.3279  0.3479  0.9740  -0.04
O  0.8113  0.3463  0.4973  -0.08
O  0.9096  0.1036  0.3056  -0.08
O  0.3423  0.3969  0.4457  -0.08
O  0.1145  0.9058  0.7018  -0.09
O  0.1703  0.6532  0.5195  -0.07
O  0.6701  0.6536  0.0177  -0.07
O  0.4405  0.1542  0.2542  -0.08
O  0.0815  0.8472  0.2319  -0.07
O  0.1374  0.5947  0.0496  -0.09
F  0.8448  0.3975  0.9518  0.00
F  0.6491  0.6038  0.5485  0.01
F  0.4070  0.1029  0.7996  0.00
F  0.6027  0.8967  0.2029  0.01

Values from the calculation:
Space-group type   P-1, No. 2
E above lowest polymorph   2.9 kJ per mole of atoms

A plane-wave DFT calculation with PBE+U was carried out for V2O3F after structural relaxation.

Cell: 4.6901 4.6901 15.1482 Å, 90.00 90.00 93.66°
Last column: magnetic moment on the atom in μB.
Sites, in units of the cell vectors:
V  0.0084  0.9916  0.8001  1.89
V  0.0055  0.9945  0.6001  1.90
V  0.0055  0.9945  0.3999  1.90
V  0.0084  0.9916  0.0000  1.89
V  0.0084  0.9916  0.1999  1.89
V  0.5502  0.4498  0.5000  1.18
V  0.4644  0.5356  0.8999  1.22
V  0.4644  0.5356  0.1001  1.22
V  0.4626  0.5374  0.3005  1.20
V  0.4626  0.5374  0.6995  1.20
O  0.2011  0.7989  0.3000  -0.09
O  0.2016  0.7984  0.1000  -0.10
O  0.2011  0.7989  0.7000  -0.09
O  0.2016  0.7984  0.9000  -0.10
O  0.3136  0.3018  0.4003  -0.06
O  0.3136  0.3018  0.5997  -0.06
O  0.3076  0.3064  0.7996  -0.06
O  0.3080  0.3060  0.0000  -0.06
O  0.3076  0.3064  0.2004  -0.06
O  0.6982  0.6864  0.4003  -0.06
O  0.6982  0.6864  0.5997  -0.06
O  0.6936  0.6924  0.7996  -0.06
O  0.6940  0.6920  0.0000  -0.06
O  0.6936  0.6924  0.2004  -0.06
O  0.8105  0.1895  0.5000  -0.09
F  0.2076  0.7924  0.5000  0.00
F  0.8026  0.1974  0.7000  0.00
F  0.8015  0.1985  0.8999  0.00
F  0.8026  0.1974  0.3000  0.00
F  0.8015  0.1985  0.1001  0.00

Values from the calculation:
Space-group type   Amm2, No. 38
E above lowest polymorph   0.4 kJ per mole of atoms

A plane-wave DFT calculation with PBE+U was carried out for V2O3F after structural relaxation.

Cell: 4.6968 4.6968 12.1040 Å, 90.00 90.00 93.82°
Last column: magnetic moment on the atom in μB.
Sites, in units of the cell vectors:
V  0.0046  0.9954  0.3749  1.90
V  0.0046  0.9954  0.6251  1.90
V  0.0076  0.9924  0.8751  1.89
V  0.0076  0.9924  0.1249  1.89
V  0.5501  0.4499  0.5000  1.18
V  0.4628  0.5372  0.0000  1.22
V  0.4610  0.5390  0.2506  1.20
V  0.4610  0.5390  0.7494  1.20
O  0.2003  0.7997  0.2500  -0.09
O  0.2003  0.7997  0.7500  -0.09
O  0.2008  0.7992  0.0000  -0.10
O  0.3126  0.3028  0.3753  -0.06
O  0.3126  0.3028  0.6247  -0.06
O  0.3067  0.3075  0.8747  -0.06
O  0.3067  0.3075  0.1253  -0.06
O  0.6972  0.6874  0.3753  -0.06
O  0.6972  0.6874  0.6247  -0.06
O  0.6925  0.6933  0.8747  -0.06
O  0.6925  0.6933  0.1253  -0.06
O  0.8096  0.1904  0.5000  -0.09
F  0.2060  0.7940  0.5000  0.00
F  0.8022  0.1978  0.7500  0.00
F  0.8012  0.1988  0.0000  0.00
F  0.8022  0.1978  0.2500  0.00

Values from the calculation:
Space-group type   Amm2, No. 38
E above lowest polymorph   0.4 kJ per mole of atoms

A plane-wave DFT calculation with PBE+U was carried out for V3O5F after structural relaxation.

Cell: 5.5179 5.5724 7.1976 Å, 71.68 71.19 73.18°
Last column: magnetic moment on the atom in μB.
Sites, in units of the cell vectors:
F  0.0422  0.6351  0.6714  0.00
F  0.8933  0.9017  0.2977  0.00
O  0.3473  0.9498  0.3460  -0.09
O  0.2333  0.2246  0.9623  -0.07
O  0.5832  0.5757  0.6283  -0.08
O  0.1092  0.1056  0.7000  -0.07
O  0.7647  0.7683  0.0416  -0.06
O  0.4368  0.4284  0.3598  -0.09
O  0.2995  0.7108  0.9936  -0.10
O  0.6615  0.0196  0.6633  -0.07
O  0.9562  0.3633  0.3395  -0.06
O  0.7042  0.3048  0.9916  -0.10
V  0.6323  0.6759  0.8500  1.17
V  0.3674  0.3190  0.6644  1.78
V  0.6504  0.6424  0.3402  1.26
V  0.3246  0.3262  0.1639  1.82
V  0.0136  0.0235  0.5015  1.15
V  0.9804  0.0254  0.9851  1.27

Values from the calculation:
Space-group type   P1, No. 1
E above lowest polymorph   3.0 kJ per mole of atoms

A plane-wave DFT calculation with PBE+U was carried out for V4O3F9 after structural relaxation.

Cell: 5.3301 5.4039 17.5795 Å, 82.59 81.79 60.71°
Last column: magnetic moment on the atom in μB.
Sites, in units of the cell vectors:
V  0.3765  0.3418  0.8708  1.20
V  0.8699  0.9051  0.3802  1.12
V  0.7419  0.7479  0.7498  1.79
V  0.2352  0.2713  0.2452  1.20
V  0.1076  0.1531  0.6280  1.20
V  0.6440  0.6240  0.1253  1.80
V  0.9914  0.9722  0.0024  1.19
V  0.4776  0.5179  0.4919  1.11
O  0.7447  0.1925  0.4315  -0.15
O  0.4849  0.0747  0.8141  -0.17
O  0.2395  0.6861  0.4248  -0.14
O  0.9932  0.4226  0.6845  -0.17
O  0.0019  0.4250  0.1766  -0.17
O  0.8183  0.7918  0.0432  -0.17
F  0.7477  0.1758  0.9172  0.01
F  0.2673  0.6778  0.9347  0.00
F  0.9665  0.9375  0.7055  0.01
F  0.4645  0.4650  0.2117  0.01
F  0.2054  0.1959  0.9588  0.00
F  0.9877  0.5790  0.8355  0.00
F  0.5149  0.0630  0.3266  0.00
F  0.2892  0.2912  0.5406  0.01
F  0.0044  0.5556  0.3207  0.00
F  0.4951  0.9245  0.6656  0.00
F  0.7156  0.7036  0.4589  0.01
F  0.7537  0.3131  0.5750  0.00
F  0.5167  0.5585  0.7934  0.00
F  0.0588  0.0301  0.2917  0.01
F  0.5270  0.9530  0.1848  0.00
F  0.7441  0.3091  0.0628  0.00
F  0.2498  0.8060  0.5672  0.00
F  0.2651  0.8352  0.0812  0.01

Values from the calculation:
Space-group type   P1, No. 1
E above lowest polymorph   0.0 kJ per mole of atoms

A plane-wave DFT calculation with PBE+U was carried out for V3O5F after structural relaxation.

Cell: 4.5940 7.6431 5.5276 Å, 92.83 90.00 90.00°
Last column: magnetic moment on the atom in μB.
Sites, in units of the cell vectors:
V  0.5365  0.6716  0.1543  1.17
V  0.0365  0.9951  0.0123  1.17
V  0.9899  0.6702  0.6687  1.90
V  0.4898  0.9964  0.4979  1.90
V  0.4962  0.3515  0.8329  1.14
V  0.9962  0.3151  0.3339  1.14
O  0.7945  0.4240  0.6325  -0.08
O  0.2945  0.2427  0.5342  -0.08
O  0.8047  0.1003  0.2907  -0.06
O  0.3047  0.5664  0.8760  -0.06
O  0.7941  0.7754  0.9694  -0.09
O  0.2942  0.8913  0.1972  -0.09
O  0.6811  0.7622  0.4624  -0.07
O  0.1811  0.9045  0.7042  -0.07
O  0.7050  0.4377  0.1353  -0.06
O  0.2050  0.2290  0.0314  -0.06
F  0.6980  0.1022  0.8078  0.00
F  0.1980  0.5644  0.3589  0.00

Values from the calculation:
Space-group type   P2_1, No. 4
E above lowest polymorph   0.7 kJ per mole of atoms